LaCr after structural relaxation, computed with PBE.

a b c (Å): 6.203 6.203 6.203
angles (deg): 90.00 90.00 90.00
Space group Fm-3m (No. 225)
One atom of each set of equivalent atoms:
La (0.000, 0.000, 0.000) (multiplicity 4)
Cr (0.000, 0.000, 0.500) (multiplicity 4)

Values from the calculation:
The calculated volume comes out at 29.8 Å³ per atom. The calculated total energy is -6.433 eV/atom. The energy of formation from the pure elements comes out at 0.842 eV/atom.